## Dy3AgSn3 (PBE)

Data for a relaxed structure of Dy3AgSn3.

a = 4.5831 Å, b = 6.1270 Å, c = 14.2102 Å
α = 83.02°, β = 80.72°, γ = 68.04°
Element x y z (fractional)
Dy 0.7328 0.7588 0.7756
Dy 0.5310 0.3197 0.6183
Dy 0.4690 0.6803 0.3817
Ag 0.2314 0.9249 0.6124
Sn 0.0127 0.2047 0.7698
Sn 0.8711 0.1829 0.0750
Sn 0.9873 0.7953 0.2302
Sn 0.1289 0.8171 0.9250
Dy 0.4017 0.2743 0.9223
Dy 0.2672 0.2412 0.2244
Sn 0.8651 0.7193 0.5505
Sn 0.1349 0.2807 0.4495
Ag 0.7686 0.0751 0.3876
Dy 0.5983 0.7257 0.0777

Properties
energy: -4.726 eV per atom
formation enthalpy at 0 K: -630.4 meV/atom